(1)
The following is a DFT calculation (GGA-PBE) of PtS after structural relaxation.

Unit cell a=3.572 b=3.572 c=3.572 alpha=60.00 beta=60.00 gamma=60.00
Element x y z (fractional)
1 S 0.500 0.500 0.500
2 Pt 0.000 0.000 0.000

Calculated values
As for the symmetry: No. 225. As for the total moment: 0.00 Bohr magnetons per cell.

(2)
The following is a DFT calculation (GGA-PBE) of Pt6S after structural relaxation.

Unit cell a=5.894 b=5.894 c=5.894 alpha=109.47 beta=109.47 gamma=109.47
Element x y z (fractional)
1 Pt 0.681 0.000 0.681
2 Pt 0.681 0.681 0.000
3 Pt 0.000 0.681 0.681
4 Pt 0.319 0.000 0.319
5 Pt 0.000 0.319 0.319
6 S 0.000 0.000 0.000
7 Pt 0.319 0.319 0.000

Calculated values
As for the symmetry: No. 229. As for the total moment: 0.00 Bohr magnetons per cell.

(3)
The following is a DFT calculation (GGA-PBE) of PtS after structural relaxation.

Unit cell a=6.484 b=6.484 c=6.657 alpha=90.00 beta=90.00 gamma=90.00
Element x y z (fractional)
1 Pt 0.500 0.000 0.000
2 S 0.806 0.307 0.274
3 S 0.693 0.806 0.226
4 S 0.194 0.693 0.726
5 S 0.806 0.307 0.726
6 Pt 0.744 0.528 0.000
7 S 0.693 0.806 0.774
8 Pt 0.472 0.744 0.500
9 Pt 0.528 0.256 0.500
10 S 0.194 0.693 0.274
11 Pt 0.256 0.472 0.000
12 S 0.307 0.194 0.226
13 Pt 0.000 0.500 0.500
14 S 0.307 0.194 0.774
15 Pt 0.000 0.000 0.750
16 Pt 0.000 0.000 0.250

Calculated values
As for the symmetry: No. 84. As for the total moment: 0.00 Bohr magnetons per cell.

For reference, calculated total energy by record: -10.09 -31.82 -87.42 eV for the cell shown.
For reference, mass density by record: 11.71 12.67 10.78 g cm⁻³.